(1)
Entry from Alexandria via LeMat-Bulk: crystalline TcPtW2 at its relaxed geometry (GGA-PBEsol).

Structure (POSCAR):
```
TcPtW2
1.0
-3.195 -1.895 1.124
2.152 -2.169 2.458
-0.572 2.647 2.836
Pt W Tc
1 2 1
Direct
0.500 0.500 0.500
0.000 0.500 0.000
0.000 0.000 0.500
0.500 0.000 0.000
```

Calculated formation energy = -51 kJ/mol of formula units
Magnetic moment = 0.0000 μB per atom
DOS(E_F) = 2.7 states/eV per cell
Space group = P4/mmm (123)
Energy above the lowest structure with this stoichiometry = 0.000 eV per atom


(2)
Entry from Alexandria via LeMat-Bulk: crystalline LaAg2Au at its relaxed geometry (GGA-PBEsol).

Structure (POSCAR):
```
LaAg2Au
1.0
-1.453 0.786 -2.979
-3.778 -2.958 1.062
-2.539 4.079 2.330
La Au Ag
1 1 2
Direct
0.000 0.500 0.500
0.500 0.500 0.000
0.501 0.000 0.751
0.499 0.000 0.249
```

Calculated formation energy = -96 kJ/mol of formula units
Magnetic moment = 0.0000 μB per atom
DOS(E_F) = 2.3 states/eV per cell
Space group = P2/m (10)
Energy above the lowest structure with this stoichiometry = 0.126 eV per atom


(3)
Entry from Alexandria via LeMat-Bulk: crystalline Li7Fe3Si2O12 at its relaxed geometry (GGA-PBEsol).

Structure (POSCAR):
```
Li7Fe3Si2O12
1.0
-1.074 3.297 3.283
0.890 -4.497 1.335
9.172 2.471 -0.641
Li O Si Fe
7 12 2 3
Direct
0.583 0.908 0.748
0.257 0.257 0.748
0.417 0.092 0.252
0.092 0.417 0.252
0.908 0.583 0.748
0.500 0.500 0.500
0.743 0.743 0.252
0.535 0.167 0.606
0.371 0.371 0.116
0.833 0.465 0.394
0.629 0.629 0.884
0.167 0.535 0.606
0.296 0.961 0.887
0.704 0.039 0.113
0.465 0.833 0.394
0.096 0.096 0.394
0.904 0.904 0.606
0.961 0.296 0.887
0.039 0.704 0.113
0.833 0.167 0.500
0.167 0.833 0.500
0.000 0.000 0.000
0.666 0.334 0.000
0.334 0.666 0.000
```

Magnetic moment = 0.1250 μB per atom
DOS(E_F) = 9.7 states/eV per cell
Space group = C2/m (12)
Energy relative to the elements, uncorrected = -2058.7 meV per atom


Q: What is the formula in the third record?
A: Li7Fe3Si2O12